Material: RbNa2MoO4
Method: DFT, PBE with a Hubbard U
State: optimized geometry

Summary:
* crystal system: tetragonal

Lattice parameters (Å, degrees): 5.959 5.959 7.964 90.00 90.00 90.00
Space group I-42m (No. 121)
Inequivalent atoms, fractional coordinates:
Rb: 0.000 0.000 0.000
Na: 0.000 0.500 0.250
Mo: 0.000 0.000 0.500
O: 0.178 0.178 0.642


Material: Na2ReMoO6
Method: DFT, PBE with a Hubbard U
State: optimized geometry

Summary:
* crystal system: tetragonal

Lattice parameters (Å, degrees): 5.582 5.582 3.894 90.00 90.00 90.00
Space group P4/mmm (No. 123)
Inequivalent atoms, fractional coordinates:
Na: 0.000 0.500 0.000
Re: 0.000 0.000 0.500
Mo: 0.500 0.500 0.500
O: 0.000 0.000 0.000
O: 0.244 0.244 0.500
O: 0.500 0.500 0.000


Material: NaReMoO6
Method: DFT, PBE with a Hubbard U
State: optimized geometry

Summary:
* crystal system: monoclinic

Lattice parameters (Å, degrees): 5.408 9.142 5.133 90.00 90.12 90.00
Space group C2 (No. 5)
Inequivalent atoms, fractional coordinates:
Na: 0.000 0.000 0.000
Re: 0.000 0.332 0.500
Mo: 0.000 0.672 0.500
O: 0.123 0.491 0.703
O: 0.170 0.197 0.710
O: 0.204 0.812 0.710


Material: Na3MoRh3O8
Method: DFT, PBE with a Hubbard U
State: optimized geometry

Summary:
* crystal system: monoclinic

Lattice parameters (Å, degrees): 10.940 6.152 6.579 90.00 123.92 90.00
Space group C2/m (No. 12)
Inequivalent atoms, fractional coordinates:
Na: 0.000 0.000 0.000
Na: 0.250 0.250 0.000
Mo: 0.000 0.000 0.500
Rh: 0.000 0.500 0.500
Rh: 0.250 0.250 0.500
O: 0.018 0.244 0.302
O: 0.230 0.500 0.693
O: 0.234 0.000 0.702


Material: Na2MoRhO4
Method: DFT, PBE with a Hubbard U
State: optimized geometry

Summary:
* crystal system: monoclinic

Lattice parameters (Å, degrees): 5.482 3.230 5.679 90.00 109.27 90.00
Space group P2/m (No. 10)
Inequivalent atoms, fractional coordinates:
Na: 0.000 0.000 0.000
Na: 0.500 0.500 0.000
Mo: 0.000 0.500 0.500
Rh: 0.500 0.000 0.500
O: 0.241 0.000 0.710
O: 0.275 0.500 0.297


Material: NaMoRh2O8
Method: DFT, PBE with a Hubbard U
State: optimized geometry

Summary:
* crystal system: orthorhombic

Lattice parameters (Å, degrees): 6.609 6.794 6.247 90.00 90.00 90.00
Space group Cmmm (No. 65)
Inequivalent atoms, fractional coordinates:
Na: 0.000 0.000 0.000
Mo: 0.000 0.000 0.500
Rh: 0.000 0.500 0.249
O: 0.000 0.304 0.500
O: 0.000 0.328 0.000
O: 0.203 0.000 0.284


Material: NaMo2RhO8
Method: DFT, PBE with a Hubbard U
State: optimized geometry

Summary:
* crystal system: trigonal

Lattice parameters (Å, degrees): 5.7828 5.7828 6.4511 90.00 90.00 120.00
Space group P-3m1 (No. 164)
Inequivalent atoms, fractional coordinates:
Na: 0.0000 0.0000 0.0000
Mo: 0.3333 0.6667 0.2306
Rh: 0.0000 0.0000 0.5000
O: 0.1595 0.3191 0.3108
O: 0.3333 0.6667 0.9602


Material: Na2MoRhO6
Method: DFT, PBE with a Hubbard U
State: optimized geometry

Summary:
* crystal system: tetragonal

Lattice parameters (Å, degrees): 5.521 5.521 3.929 90.00 90.00 90.00
Space group P4mm (No. 99)
Inequivalent atoms, fractional coordinates:
Na: 0.000 0.500 0.000
Mo: 0.000 0.000 0.499
Rh: 0.500 0.500 0.501
O: 0.000 0.000 0.001
O: 0.244 0.244 0.501
O: 0.500 0.500 0.001


Values of uncorrected energy, in order: -5.511, -6.901, -7.236, -6.038, -6.002, -6.256, -6.635, -6.021, all in eV per atom.